No. 1
A plane-wave DFT calculation with PBE was carried out for a relaxed structure of Hf2Zr2Rh3.

- Space group: P-1 (2)
- DFT formation energy: -429 kJ/mol of formula units
- DFT total energy: -0.33341 Ha/atom

a = 4.587 Å, b = 7.199 Å, c = 4.656 Å
α = 71.11°, β = 90.05°, γ = 108.65°
Fractional coordinates of all 7 atoms:
Rh 0.259 0.517 0.741
Rh 0.000 0.000 0.000
Rh 0.741 0.483 0.259
Hf 0.622 0.246 0.878
Hf 0.378 0.754 0.122
Zr 0.120 0.242 0.379
Zr 0.880 0.758 0.621

***

No. 2
A plane-wave DFT calculation with PBE was carried out for a relaxed structure of Hf3Zr2Rh2.

- Space group: C2/m (12)
- DFT formation energy: -334 kJ/mol of formula units
- DFT total energy: -0.34189 Ha/atom

a = 3.322 Å, b = 5.994 Å, c = 8.283 Å
α = 114.03°, β = 90.00°, γ = 106.09°
Fractional coordinates of all 7 atoms:
Rh 0.167 0.334 0.237
Rh 0.833 0.666 0.763
Zr 0.850 0.700 0.184
Zr 0.150 0.300 0.816
Hf 0.386 0.772 0.552
Hf 0.614 0.228 0.448
Hf 0.500 0.000 0.000

***

No. 3
A plane-wave DFT calculation with PBE was carried out for a relaxed structure of Hf6ZrRh.

- Space group: R-3 (148)
- DFT formation energy: -103 kJ/mol of formula units
- DFT total energy: -0.35226 Ha/atom

a = 8.346 Å, b = 7.484 Å, c = 5.603 Å
α = 48.12°, β = 41.85°, γ = 56.08°
Fractional coordinates of all 8 atoms:
Rh 0.000 0.000 0.000
Hf 0.955 0.558 0.251
Hf 0.442 0.764 0.839
Hf 0.558 0.236 0.161
Hf 0.236 0.046 0.276
Hf 0.045 0.442 0.749
Hf 0.764 0.954 0.724
Zr 0.500 0.500 0.500

***

No. 4
A plane-wave DFT calculation with PBE was carried out for a relaxed structure of Hf2ZrRh3.

- Space group: P4/mmm (123)
- DFT formation energy: -488 kJ/mol of formula units
- DFT total energy: -0.34033 Ha/atom

a = 3.243 Å, b = 3.243 Å, c = 10.074 Å
α = 90.00°, β = 90.00°, γ = 90.00°
Fractional coordinates of all 6 atoms:
Zr 0.500 0.500 0.500
Rh 0.000 0.000 0.000
Rh 0.000 0.000 0.680
Rh 0.000 0.000 0.320
Hf 0.500 0.500 0.834
Hf 0.500 0.500 0.166

***

No. 5
A plane-wave DFT calculation with PBE was carried out for a relaxed structure of Hf2Zr2Rh.

- Space group: I4_1/amd (141)
- DFT formation energy: -128 kJ/mol of formula units
- DFT total energy: -0.33575 Ha/atom

a = 4.560 Å, b = 4.560 Å, c = 11.133 Å
α = 101.82°, β = 101.82°, γ = 90.00°
Fractional coordinates of all 10 atoms:
Zr 0.327 0.327 0.653
Zr 0.077 0.577 0.153
Zr 0.673 0.673 0.347
Zr 0.423 0.923 0.847
Rh 0.500 0.500 0.000
Rh 0.250 0.750 0.500
Hf 0.924 0.424 0.848
Hf 0.174 0.174 0.348
Hf 0.576 0.076 0.152
Hf 0.826 0.826 0.652

***

No. 6
A plane-wave DFT calculation with PBE was carried out for a relaxed structure of HfZr4Rh.

- Space group: C2/m (12)
- DFT formation energy: -140 kJ/mol of formula units
- DFT total energy: -0.32429 Ha/atom

a = 4.935 Å, b = 5.730 Å, c = 5.836 Å
α = 62.00°, β = 64.99°, γ = 64.49°
Fractional coordinates of all 6 atoms:
Zr 0.303 0.557 0.838
Zr 0.697 0.443 0.162
Zr 0.652 0.008 0.688
Zr 0.348 0.992 0.312
Hf 0.000 0.500 0.500
Rh 0.000 0.000 0.000

***

No. 7
A plane-wave DFT calculation with PBE was carried out for a relaxed structure of HfZrRh2.

- Space group: Immm (71)
- DFT formation energy: 35 kJ/mol of formula units
- DFT total energy: -0.30173 Ha/atom

a = 5.818 Å, b = 5.818 Å, c = 5.818 Å
α = 60.71°, β = 150.72°, γ = 128.10°
Fractional coordinates of all 4 atoms:
Rh 0.000 0.253 0.253
Rh 0.000 0.747 0.747
Hf 0.000 0.500 0.500
Zr 0.000 0.000 0.000

***

No. 8
A plane-wave DFT calculation with PBE was carried out for a relaxed structure of HfZr4Rh.

- Space group: C2/c (15)
- DFT formation energy: -102 kJ/mol of formula units
- DFT total energy: -0.32188 Ha/atom

a = 5.648 Å, b = 7.914 Å, c = 7.417 Å
α = 113.39°, β = 100.92°, γ = 111.02°
Fractional coordinates of all 12 atoms:
Zr 0.949 0.809 0.191
Zr 0.051 0.191 0.809
Zr 0.767 0.706 0.627
Zr 0.360 0.921 0.627
Zr 0.742 0.382 0.191
Zr 0.233 0.294 0.373
Zr 0.258 0.618 0.809
Zr 0.640 0.079 0.373
Hf 0.641 0.391 0.782
Hf 0.359 0.609 0.218
Rh 0.743 0.993 0.986
Rh 0.257 0.007 0.014

***

No. 9
A plane-wave DFT calculation with PBE was carried out for a relaxed structure of Hf3Zr3Rh2.

- Space group: Cmcm (63)
- DFT formation energy: -279 kJ/mol of formula units
- DFT total energy: -0.33578 Ha/atom

a = 4.553 Å, b = 5.855 Å, c = 13.732 Å
α = 90.00°, β = 90.00°, γ = 112.88°
Fractional coordinates of all 16 atoms:
Hf 0.640 0.281 0.475
Hf 0.360 0.719 0.975
Hf 0.607 0.213 0.750
Hf 0.393 0.787 0.250
Hf 0.640 0.281 0.025
Hf 0.360 0.719 0.525
Zr 0.678 0.357 0.250
Zr 0.956 0.912 0.388
Zr 0.956 0.912 0.112
Zr 0.044 0.088 0.888
Zr 0.044 0.088 0.612
Zr 0.322 0.643 0.750
Rh 0.790 0.579 0.877
Rh 0.210 0.421 0.123
Rh 0.210 0.421 0.377
Rh 0.790 0.579 0.623

***

No. 10
A plane-wave DFT calculation with PBE was carried out for a relaxed structure of Hf2Zr3Rh2.

- Space group: C2/m (12)
- DFT formation energy: -300 kJ/mol of formula units
- DFT total energy: -0.33266 Ha/atom

a = 3.303 Å, b = 5.886 Å, c = 8.398 Å
α = 111.86°, β = 90.00°, γ = 106.29°
Fractional coordinates of all 7 atoms:
Zr 0.388 0.777 0.553
Zr 0.612 0.223 0.447
Zr 0.500 0.000 0.000
Rh 0.170 0.341 0.227
Rh 0.830 0.659 0.773
Hf 0.155 0.310 0.817
Hf 0.845 0.690 0.183

***

No. 11
A plane-wave DFT calculation with PBE was carried out for a relaxed structure of Hf2ZrRh.

- Space group: R3m (160)
- DFT formation energy: -42 kJ/mol of formula units
- DFT total energy: -0.33294 Ha/atom

a = 4.559 Å, b = 4.559 Å, c = 5.599 Å
α = 65.98°, β = 65.98°, γ = 60.00°
Fractional coordinates of all 4 atoms:
Rh 0.676 0.676 0.973
Zr 0.493 0.493 0.521
Hf 0.274 0.274 0.178
Hf 0.057 0.057 0.828

***

No. 12
A plane-wave DFT calculation with PBE was carried out for a relaxed structure of HfZr2Rh2.

- Space group: C2/m (12)
- DFT formation energy: -268 kJ/mol of formula units
- DFT total energy: -0.32729 Ha/atom

a = 3.170 Å, b = 4.621 Å, c = 7.690 Å
α = 107.49°, β = 114.21°, γ = 90.00°
Fractional coordinates of all 5 atoms:
Rh 0.880 0.189 0.379
Rh 0.120 0.811 0.621
Zr 0.265 0.632 0.265
Zr 0.735 0.368 0.735
Hf 0.500 0.000 0.000

***

No. 13
A plane-wave DFT calculation with PBE was carried out for a relaxed structure of Hf2Zr2Rh.

- Space group: P4/mbm (127)
- DFT formation energy: -76 kJ/mol of formula units
- DFT total energy: -0.33176 Ha/atom

a = 6.754 Å, b = 6.754 Å, c = 4.831 Å
α = 90.00°, β = 90.00°, γ = 90.00°
Fractional coordinates of all 10 atoms:
Rh 0.500 0.500 0.000
Rh 0.000 0.000 0.000
Zr 0.345 0.155 0.500
Zr 0.655 0.845 0.500
Zr 0.845 0.345 0.500
Zr 0.155 0.655 0.500
Hf 0.154 0.346 0.000
Hf 0.346 0.846 0.000
Hf 0.846 0.654 0.000
Hf 0.654 0.154 0.000

***

No. 14
A plane-wave DFT calculation with PBE was carried out for a relaxed structure of HfZr8Rh2.

- Space group: C2/m (12)
- DFT formation energy: -160 kJ/mol of formula units
- DFT total energy: -0.31636 Ha/atom

a = 4.914 Å, b = 7.612 Å, c = 7.612 Å
α = 116.38°, β = 98.36°, γ = 98.36°
Fractional coordinates of all 11 atoms:
Zr 0.325 0.614 0.614
Zr 0.080 0.314 0.080
Zr 0.675 0.386 0.386
Zr 0.920 0.920 0.686
Zr 0.500 0.236 0.764
Zr 0.500 0.764 0.236
Zr 0.920 0.686 0.920
Zr 0.080 0.080 0.314
Rh 0.000 0.312 0.688
Rh 0.000 0.688 0.312
Hf 0.500 0.000 0.000

***

No. 15
A plane-wave DFT calculation with PBE was carried out for a relaxed structure of HfZr4Rh5.

- Space group: P4/mmm (123)
- DFT formation energy: -757 kJ/mol of formula units
- DFT total energy: -0.32617 Ha/atom

a = 3.296 Å, b = 3.296 Å, c = 16.438 Å
α = 90.00°, β = 90.00°, γ = 90.00°
Fractional coordinates of all 10 atoms:
Rh 0.500 0.500 0.500
Rh 0.500 0.500 0.095
Rh 0.500 0.500 0.905
Rh 0.500 0.500 0.299
Rh 0.500 0.500 0.701
Zr 0.000 0.000 0.200
Zr 0.000 0.000 0.601
Zr 0.000 0.000 0.800
Zr 0.000 0.000 0.399
Hf 0.000 0.000 0.000

***

No. 16
A plane-wave DFT calculation with PBE was carried out for a relaxed structure of HfZr3Rh4.

- Space group: P4/mmm (123)
- DFT formation energy: -614 kJ/mol of formula units
- DFT total energy: -0.32783 Ha/atom

a = 3.288 Å, b = 3.288 Å, c = 13.196 Å
α = 90.00°, β = 90.00°, γ = 90.00°
Fractional coordinates of all 8 atoms:
Rh 0.000 0.000 0.374
Rh 0.000 0.000 0.120
Rh 0.000 0.000 0.880
Rh 0.000 0.000 0.626
Zr 0.500 0.500 0.250
Zr 0.500 0.500 0.750
Zr 0.500 0.500 0.500
Hf 0.500 0.500 0.000

***

No. 17
A plane-wave DFT calculation with PBE was carried out for a relaxed structure of HfZrRh2.

- Space group: I-42d (122)
- DFT formation energy: -150 kJ/mol of formula units
- DFT total energy: -0.31932 Ha/atom

a = 7.146 Å, b = 7.146 Å, c = 5.860 Å
α = 52.43°, β = 52.43°, γ = 90.00°
Fractional coordinates of all 8 atoms:
Zr 0.500 0.500 0.000
Zr 0.250 0.750 0.500
Rh 0.875 0.881 0.750
Rh 0.375 0.369 0.750
Rh 0.631 0.125 0.250
Rh 0.119 0.625 0.250
Hf 0.750 0.250 0.500
Hf 0.000 0.000 0.000

***

No. 18
A plane-wave DFT calculation with PBE was carried out for a relaxed structure of Hf2ZrRh.

- Space group: I-42d (122)
- DFT formation energy: -38 kJ/mol of formula units
- DFT total energy: -0.33254 Ha/atom

a = 7.696 Å, b = 7.696 Å, c = 6.179 Å
α = 51.48°, β = 51.48°, γ = 90.00°
Fractional coordinates of all 8 atoms:
Hf 0.075 0.625 0.250
Hf 0.875 0.925 0.750
Hf 0.375 0.325 0.750
Hf 0.675 0.125 0.250
Zr 0.500 0.500 0.000
Zr 0.250 0.750 0.500
Rh 0.750 0.250 0.500
Rh 0.000 0.000 0.000

***

No. 19
A plane-wave DFT calculation with PBE was carried out for a relaxed structure of HfZr2Rh2.

- Space group: P4/mbm (127)
- DFT formation energy: -190 kJ/mol of formula units
- DFT total energy: -0.32138 Ha/atom

a = 7.970 Å, b = 7.970 Å, c = 3.007 Å
α = 90.00°, β = 90.00°, γ = 90.00°
Fractional coordinates of all 10 atoms:
Zr 0.146 0.354 0.000
Zr 0.854 0.646 0.000
Zr 0.354 0.854 0.000
Zr 0.646 0.146 0.000
Rh 0.654 0.846 0.500
Rh 0.154 0.654 0.500
Rh 0.846 0.346 0.500
Rh 0.346 0.154 0.500
Hf 0.500 0.500 0.000
Hf 0.000 0.000 0.000

***

No. 20
A plane-wave DFT calculation with PBE was carried out for a relaxed structure of Hf5ZrRh3.

- Space group: C2/m (12)
- DFT formation energy: -155 kJ/mol of formula units
- DFT total energy: -0.33474 Ha/atom

a = 6.428 Å, b = 6.428 Å, c = 10.020 Å
α = 80.03°, β = 80.03°, γ = 76.83°
Fractional coordinates of all 18 atoms:
Hf 0.524 0.524 0.677
Hf 0.596 0.009 0.646
Hf 0.991 0.404 0.354
Hf 0.264 0.264 0.883
Hf 0.476 0.476 0.323
Hf 0.683 0.317 0.000
Hf 0.736 0.736 0.117
Hf 0.317 0.683 0.000
Hf 0.009 0.596 0.646
Hf 0.404 0.991 0.354
Rh 0.000 0.000 0.000
Rh 0.727 0.727 0.443
Rh 0.712 0.712 0.855
Rh 0.273 0.273 0.557
Rh 0.000 0.000 0.500
Rh 0.288 0.288 0.145
Zr 0.975 0.975 0.255
Zr 0.025 0.025 0.745